## CuAu2 (GGA-PBE)

Data for a relaxed CuAu2 crystal.

Calculated values
Energy above the most stable polymorph in this dataset = 0.039 eV/atom
V = 16.72 Å³/atom
DFT formation energy = 0.00 eV/atom

abc: 2.8500 2.8500 24.7004
angles: 90.00 90.00 90.00
Last column: nearest neighbours and their distance in Å.
Space group I4_1/amd (No. 141, origin choice 2)
Inequivalent atoms, fractional coordinates:
Cu1 0.0000 0.2500 0.3750 x4  8 Au 2.72, 4 Cu 2.85
Au1 0.0000 0.2500 0.8010 x8  4 Cu 2.72, 6 Au 2.85-2.90

## Cu4Au (GGA-PBE)

Data for a relaxed Cu4Au crystal.

Calculated values
Energy above the most stable polymorph in this dataset = 0.215 eV/atom
V = 14.22 Å³/atom
DFT formation energy = 0.19 eV/atom

abc: 3.4316 3.4316 12.0717
angles: 90.00 90.00 90.00
Last column: nearest neighbours and their distance in Å.
Space group I4/mmm (No. 139)
Inequivalent atoms, fractional coordinates:
Cu1 0.0000 0.0000 0.1011 x4  5 Cu 2.44-2.48, 4 Au 2.72
Cu2 0.0000 0.5000 0.2500 x4  8 Cu 2.43-2.48
Au1 0.0000 0.0000 0.5000 x2  8 Cu 2.72